Density functional theory data (PBE) for an optimized crystal structure of NdGe3Pd5.

It has space group Cmcm (No. 63), with a = 3.9163 Å, b = 13.0888 Å, c = 12.8875 Å, α = 90.00°, β = 90.00° and γ = 90.00°. Symmetry generates all atoms from Nd at (0.0000, 0.1414, 0.2500), Ge at (0.0000, 0.1213, 0.7500), Ge at (0.0000, 0.3820, 0.5436), Pd at (0.0000, 0.0000, 0.0000), Pd at (0.0000, 0.2019, 0.5732) and Pd at (0.0000, 0.4498, 0.1455).

Its formation energy is -5.6 eV per formula unit. The total energy is -5.57 eV/atom. The value obtained for the density of states at the Fermi level is 0.4476 states/eV per atom. The calculation puts the volume at 660.6 Å³ per cell.